Compound: Pm6C2SO3
Source: the Alexandria database
Functional: PBE
Structure: optimized geometry

E = -7.318 eV per atom
space-group type = C2/m (12)
ρ = 7.48 Mg/m³

```
12
Lattice="-0.632 -3.597 -0.602 4.099 0.314 -6.183 5.830 -0.097 5.837" Properties=species:S:1:pos:R:3 pbc="T T T"
Pm 7.264 -0.947 -1.973
Pm 3.939 -2.258 -2.027
Pm 2.033 -2.434 1.025
Pm 1.198 0.065 -1.645
Pm 8.099 -3.445 0.697
Pm 5.358 -1.123 1.079
C 6.101 -2.858 -0.715
C 3.195 -0.523 -0.233
S -0.316 -1.799 -0.301
O 1.733 -1.642 -3.393
O 3.980 -2.996 2.337
O 5.317 -0.385 -3.285
```